# 1
DFT (PBE) results for a relaxed PaTl2HO4 crystal.

```
PaTl2HO4
1.0
-3.680 -0.601 0.171
0.758 -5.926 -4.507
0.712 -3.256 3.872
Pa Tl H O
1 2 1 4
Direct
0.000 0.500 0.500
0.000 0.000 0.000
0.500 0.000 0.500
0.500 0.500 0.000
0.000 0.767 0.568
0.000 0.233 0.432
0.500 0.540 0.231
0.500 0.460 0.769
```

Values from the calculation:
Total magnetic moment, μB/cell: 0.000
Uncorrected energy, eV for the cell shown: -51.892
Symmetry: P2/m
D(E_F), states/eV/atom: 0.37

---

# 2
DFT (PBE) results for a relaxed Ag8HgPt2 crystal.

```
Ag8HgPt2
1.0
-3.476 2.675 -2.325
-7.457 0.587 1.291
-2.498 5.870 5.220
Ag Hg Pt
8 1 2
Direct
0.763 0.095 0.300
0.763 0.395 0.700
0.312 0.436 0.000
0.500 0.812 0.376
0.500 0.188 0.624
0.688 0.564 0.000
0.237 0.605 0.300
0.237 0.905 0.700
0.500 0.000 0.000
0.000 0.324 0.353
0.000 0.676 0.647
```

Values from the calculation:
Total magnetic moment, μB/cell: 0.000
ΔH_f (0 K), eV/atom: 0.150
Uncorrected energy, eV for the cell shown: -33.543
Symmetry: C2/m
D(E_F), states/eV/atom: 0.25

---

# 3
DFT (PBE) results for a relaxed Ta2HBr2 crystal.

```
Ta2HBr2
1.0
8.192 0.000 0.000
0.000 8.192 0.000
0.000 0.000 3.062
H Br Ta
2 4 4
Direct
0.000 0.000 0.000
0.500 0.500 0.000
0.322 0.822 0.000
0.822 0.678 0.000
0.678 0.178 0.000
0.178 0.322 0.000
0.109 0.609 0.500
0.609 0.891 0.500
0.891 0.391 0.500
0.391 0.109 0.500
```

Values from the calculation:
Total magnetic moment, μB/cell: 0.029
Uncorrected energy, eV for the cell shown: -48.708
Symmetry: P4/mbm
D(E_F), states/eV/atom: 0.71

---

# 4
DFT (PBE) results for a relaxed Tb5PrHg2 crystal.

```
Tb5PrHg2
1.0
-3.584 1.095 0.327
-3.196 -1.782 -7.433
-4.030 -7.119 1.307
Tb Pr Hg
5 1 2
Direct
0.000 0.500 0.500
0.638 0.585 0.140
0.362 0.415 0.860
0.362 0.860 0.415
0.638 0.140 0.585
0.000 0.000 0.000
0.738 0.762 0.762
0.262 0.238 0.238
```

Values from the calculation:
Total magnetic moment, μB/cell: 0.000
ΔH_f (0 K), eV/atom: -0.173
Uncorrected energy, eV for the cell shown: -29.917
Symmetry: Immm
D(E_F), states/eV/atom: 1.05

---

# 5
DFT (PBE) results for a relaxed Tb2Pm3Ag2 crystal.

```
Tb2Pm3Ag2
1.0
-3.031 3.038 2.169
-0.845 -2.477 2.288
7.200 5.121 8.202
Tb Pm Ag
2 3 2
Direct
0.708 0.500 0.584
0.292 0.500 0.416
0.862 0.000 0.275
0.000 0.000 0.000
0.138 0.000 0.725
0.570 0.500 0.860
0.430 0.500 0.140
```

Values from the calculation:
Polymorph energy (0 for the lowest one), meV per atom: 161
Total magnetic moment, μB/cell: 0.000
ΔH_f (0 K), eV/atom: 0.045
Uncorrected energy, eV for the cell shown: -28.901
Symmetry: Cmmm
D(E_F), states/eV/atom: 1.19

---

# 6
DFT (PBE) results for a relaxed MnIn4Pd5 crystal.

```
MnIn4Pd5
1.0
3.286 0.000 0.000
0.000 3.286 0.000
0.000 0.000 16.078
Mn In Pd
1 4 5
Direct
0.000 0.000 0.000
0.000 0.000 0.191
0.000 0.000 0.397
0.000 0.000 0.603
0.000 0.000 0.809
0.500 0.500 0.091
0.500 0.500 0.294
0.500 0.500 0.500
0.500 0.500 0.706
0.500 0.500 0.909
```

Values from the calculation:
Total magnetic moment, μB/cell: 4.202
ΔH_f (0 K), eV/atom: -0.436
Uncorrected energy, eV for the cell shown: -50.446
Symmetry: P4/mmm
D(E_F), states/eV/atom: 0.41